Computed, not measured: a geometry-optimized NaLiYHg structure at the GGA-PBE level of DFT.

Results
* size of the total moment: 0.0 μB/f.u.
* uncorrected energy: -2.59 eV per atom
* Fermi-level density of states: 4.5 states/eV per cell
* energy relative to the elements: -0.093 eV per atom

POSCAR file:
```
NaLiYHg
1.0
5.163 0.000 0.000
2.582 4.471 0.000
2.582 1.490 4.216
Y Na Hg Li
1 1 1 1
Direct
0.750 0.750 0.750
0.250 0.250 0.250
0.500 0.500 0.500
0.000 0.000 0.000
```

---

Computed, not measured: a geometry-optimized Tm2InNi9 structure at the GGA-PBE level of DFT.

Results
* size of the total moment: 1.4 μB/f.u.
* uncorrected energy: -5.60 eV per atom
* Fermi-level density of states: 13.9 states/eV per cell
* energy relative to the elements: -0.287 eV per atom

POSCAR file:
```
Tm2InNi9
1.0
4.900 0.000 0.000
2.450 4.244 0.000
2.450 1.415 8.047
Tm In Ni
2 1 9
Direct
0.863 0.863 0.411
0.137 0.137 0.589
0.000 0.000 0.000
0.667 0.667 0.000
0.333 0.333 0.000
0.500 0.500 0.500
0.416 0.416 0.249
0.919 0.416 0.249
0.416 0.919 0.249
0.584 0.584 0.751
0.584 0.081 0.751
0.081 0.584 0.751
```

---

Computed, not measured: a geometry-optimized AcLa2Sm5Tm structure at the GGA-PBE level of DFT.

Results
* size of the total moment: 0.0 μB/f.u.
* uncorrected energy: -4.52 eV per atom
* Fermi-level density of states: 31.4 states/eV per cell
* energy relative to the elements: 0.148 eV per atom

POSCAR file:
```
AcLa2Sm5Tm
1.0
-3.021 -4.642 -0.261
2.021 1.362 11.278
-8.778 5.663 0.889
Ac La Sm Tm
2 4 10 2
Direct
0.599 0.199 0.008
0.401 0.801 0.508
0.881 0.763 0.772
0.119 0.237 0.744
0.119 0.237 0.272
0.881 0.763 0.244
0.380 0.761 0.008
0.722 0.444 0.814
0.500 0.000 0.758
0.278 0.557 0.702
0.004 0.007 0.508
0.620 0.239 0.508
0.278 0.556 0.314
0.500 0.000 0.258
0.722 0.443 0.202
0.996 0.993 0.008
0.779 0.559 0.508
0.221 0.441 0.008
```

---

Computed, not measured: a geometry-optimized LaTb10Y4 structure at the GGA-PBE level of DFT.

Results
* size of the total moment: 0.0 μB/f.u.
* uncorrected energy: -4.59 eV per atom
* Fermi-level density of states: 30.2 states/eV per cell
* energy relative to the elements: 0.549 eV per atom

POSCAR file:
```
LaTb10Y4
1.0
6.016 0.000 2.717
3.008 9.079 1.358
-0.728 0.000 9.633
La Tb Y
1 10 4
Direct
0.000 0.000 0.000
0.250 0.500 0.500
0.622 0.421 0.838
0.957 0.162 0.421
0.540 0.838 0.579
0.881 0.579 0.162
0.378 0.579 0.162
0.750 0.500 0.500
0.119 0.421 0.838
0.460 0.162 0.421
0.043 0.838 0.579
0.433 0.891 0.244
0.676 0.756 0.891
0.324 0.244 0.109
0.567 0.109 0.756
```

---

Computed, not measured: a geometry-optimized ReIrBr2 structure at the GGA-PBE level of DFT.

Results
* formation energy without anion corrections: 1140.2 meV/atom
* size of the total moment: 1.0 μB/f.u.
* uncorrected energy: -5.02 eV per atom
* polymorph energy (0 for the lowest one): 0.890 eV/atom
* Fermi-level density of states: 4.1 states/eV per cell

POSCAR file:
```
ReIrBr2
1.0
-10.726 -5.541 0.240
-9.500 -7.088 2.303
-10.767 -4.609 2.939
Re Ir Br
1 1 2
Direct
0.000 0.000 0.000
0.500 0.500 0.500
0.933 0.933 0.933
0.067 0.067 0.067
```

---

Computed, not measured: a geometry-optimized RbRh structure at the GGA-PBE level of DFT.

Results
* size of the total moment: 0.0 μB/f.u.
* uncorrected energy: -3.51 eV per atom
* Fermi-level density of states: 18.3 states/eV per cell
* energy relative to the elements: 0.649 eV per atom

POSCAR file:
```
RbRh
1.0
-4.222 -7.507 -8.376
6.587 -4.250 9.104
-3.591 -0.578 2.328
Rb Rh
6 6
Direct
0.791 0.583 0.250
0.209 0.791 0.750
0.417 0.209 0.250
0.209 0.417 0.750
0.791 0.209 0.250
0.583 0.791 0.750
0.476 0.952 0.250
0.524 0.476 0.750
0.048 0.524 0.250
0.524 0.048 0.750
0.476 0.524 0.250
0.952 0.476 0.750
```

---

Please write out number 3 again, unchanged.
Computed, not measured: a geometry-optimized AcLa2Sm5Tm structure at the GGA-PBE level of DFT.

Results
* size of the total moment: 0.0 μB/f.u.
* uncorrected energy: -4.52 eV per atom
* Fermi-level density of states: 31.4 states/eV per cell
* energy relative to the elements: 0.148 eV per atom

POSCAR file:
```
AcLa2Sm5Tm
1.0
-3.021 -4.642 -0.261
2.021 1.362 11.278
-8.778 5.663 0.889
Ac La Sm Tm
2 4 10 2
Direct
0.599 0.199 0.008
0.401 0.801 0.508
0.881 0.763 0.772
0.119 0.237 0.744
0.119 0.237 0.272
0.881 0.763 0.244
0.380 0.761 0.008
0.722 0.444 0.814
0.500 0.000 0.758
0.278 0.557 0.702
0.004 0.007 0.508
0.620 0.239 0.508
0.278 0.556 0.314
0.500 0.000 0.258
0.722 0.443 0.202
0.996 0.993 0.008
0.779 0.559 0.508
0.221 0.441 0.008
```

---

> size of the total moment of number 4 (LaTb10Y4)?

0.0 μB/f.u.

---

> The lowest uncorrected energy belongs to which entry?

Tm2InNi9